The following is a PBE calculation of PrEr12Sc7 after structural relaxation, from Alexandria via LeMat-Bulk.

Summary:
relative energy among the computed polymorphs	0.5225	eV per atom

Cell and atoms, written as CIF:
```
data_PrEr12Sc7
_chemical_formula_sum 'Pr2 Er24 Sc14'
_cell_length_a 10.903
_cell_length_b 10.903
_cell_length_c 10.903
_cell_angle_alpha 90.00
_cell_angle_beta 90.00
_cell_angle_gamma 90.00
_space_group_name_H-M_alt 'I m -3'
_space_group_IT_number 204
_space_group_name_Hall '-I 2 2 3'
loop_
_atom_site_label
_atom_site_fract_x
_atom_site_fract_y
_atom_site_fract_z
Pr1 0.000 0.000 0.000
Er1 0.000 0.265 0.264
Sc1 0.000 0.000 0.500
Sc2 0.250 0.250 0.250
```